1.
DFT (PBE) results for crystalline AlCuSnF2 at its relaxed geometry.

abc: 3.708 3.708 5.824
angles: 90.00 90.00 90.00
Space group P4/mmm (No. 123)
Asymmetric unit:
Al  0.000  0.000  0.000 (multiplicity 1)
Cu  0.000  0.000  0.500 (multiplicity 1)
Sn  0.500  0.500  0.500 (multiplicity 1)
F  0.000  0.500  0.000 (multiplicity 2)

Computed properties:
The calculation puts the uncorrected formation energy at -7.1 eV per formula unit. The calculated total energy is -22.64 eV for the cell shown.


2.
DFT (PBE) results for crystalline SrAlCu2F at its relaxed geometry.

abc: 5.415 5.415 6.989
angles: 90.00 90.00 90.00
Space group P4/mmm (No. 123)
Asymmetric unit:
Sr  0.000  0.000  0.000 (multiplicity 1)
Al  0.000  0.000  0.500 (multiplicity 1)
Cu  0.000  0.500  0.000 (multiplicity 2)
F  0.500  0.500  0.500 (multiplicity 1)

Computed properties:
The calculation puts the uncorrected formation energy at 4.7 eV per formula unit. The calculated total energy is -10.79 eV for the cell shown.


3.
DFT (PBE) results for crystalline Sr2AlCuF at its relaxed geometry.

abc: 6.078 6.078 3.938
angles: 90.00 90.00 90.00
Space group P4/mmm (No. 123)
Asymmetric unit:
Sr  0.000  0.500  0.000 (multiplicity 2)
Al  0.000  0.000  0.500 (multiplicity 1)
Cu  0.500  0.500  0.000 (multiplicity 1)
F  0.500  0.500  0.500 (multiplicity 1)

Computed properties:
The calculation puts the uncorrected formation energy at -1.8 eV per formula unit. The calculated total energy is -14.91 eV for the cell shown.


4.
DFT (PBE) results for crystalline Al2TlCuF8 at its relaxed geometry.

abc: 5.3547 5.3547 23.3249
angles: 90.00 90.00 120.00
Space group R-3 (No. 148, hexagonal axes)
Asymmetric unit:
Al  0.0000  0.0000  0.2429 (multiplicity 6)
Tl  0.0000  0.0000  0.0000 (multiplicity 3)
Cu  0.0000  0.0000  0.5000 (multiplicity 3)
F  0.0000  0.0000  0.3162 (multiplicity 6)
F  0.0019  0.3060  0.2224 (multiplicity 18)

Computed properties:
The calculation puts the uncorrected formation energy at -32.6 eV per formula unit. The calculated total energy is -184.69 eV for the cell shown.